# LaCdRh2 (GGA-PBEsol, relaxed)
data_LaCdRh2
_cell_length_a 3.4187
_cell_length_b 3.4187
_cell_length_c 6.8403
_cell_angle_alpha 90.00
_cell_angle_beta 90.00
_cell_angle_gamma 90.00
_symmetry_space_group_name_H-M 'P 4 m m'
_symmetry_Int_Tables_number 99
_symmetry_space_group_name_Hall 'P 4 -2'
loop_
_atom_site_label
_atom_site_fract_x
_atom_site_fract_y
_atom_site_fract_z
_atom_site_occupancy
La1 0.0000 0.0000 0.0000 1
Cd1 0.5000 0.5000 0.6479 1
Rh1 0.0000 0.0000 0.4022 1
Rh2 0.5000 0.5000 0.2546 1
# Fermi-level density of states, states/eV per atom: 0.976
# Energy relative to the elements, eV per atom: -0.0997
# V, Å³/f.u.: 79.9
# Total moment, Bohr magnetons per cell: 0.00